Entry 1:
Entry from Alexandria: a relaxed Y16Mg3AlNi4 crystal (GGA-PBE).

Lattice parameters (Å, degrees): 9.6167 9.6167 9.6167 60.30 60.30 60.30
Element x y z (fractional)
1 Y 0.0048 0.0048 0.3975
2 Y 0.0048 0.3975 0.0048
3 Y 0.0075 0.0075 0.0075
4 Y 0.1627 0.5440 0.5440
5 Y 0.1664 0.1664 0.5411
6 Y 0.1664 0.5411 0.1664
7 Y 0.3975 0.0048 0.0048
8 Y 0.4183 0.4183 0.7892
9 Y 0.4183 0.7892 0.4183
10 Y 0.4218 0.7891 0.7891
11 Y 0.5411 0.1664 0.1664
12 Y 0.5440 0.1627 0.5440
13 Y 0.5440 0.5440 0.1627
14 Y 0.7892 0.4183 0.4183
15 Y 0.7891 0.4218 0.7891
16 Y 0.7891 0.7891 0.4218
17 Mg 0.0871 0.7736 0.7736
18 Mg 0.7736 0.0871 0.7736
19 Mg 0.7736 0.7736 0.0871
20 Al 0.7715 0.7715 0.7715
21 Ni 0.2111 0.2111 0.2111
22 Ni 0.2120 0.2120 0.7797
23 Ni 0.2120 0.7797 0.2120
24 Ni 0.7797 0.2120 0.2120

Values from the calculation:
The calculation puts the total magnetization at 0.00 μB/f.u. Its total energy is -140.78 eV per formula unit. For the density of states at the Fermi level, the calculation gives 1.248 states/eV per atom.



Entry 2:
Entry from Alexandria: a relaxed La12PmNd5 crystal (GGA-PBE).

Lattice parameters (Å, degrees): 11.1300 11.1300 6.4403 106.68 106.68 59.90
Element x y z (fractional)
1 La 0.0015 0.6653 0.1670
2 La 0.1651 0.5016 0.6671
3 La 0.1678 0.8322 0.0000
4 La 0.3313 0.6687 0.5000
5 La 0.3347 0.9985 0.8330
6 La 0.4984 0.8349 0.3329
7 La 0.5016 0.1651 0.6671
8 La 0.6653 0.0015 0.1670
9 La 0.6687 0.3313 0.5000
10 La 0.8322 0.1678 0.0000
11 La 0.8349 0.4984 0.3329
12 La 0.9985 0.3347 0.8330
13 Pm 0.0000 0.0000 0.5000
14 Nd 0.1666 0.1666 0.3334
15 Nd 0.3334 0.3334 0.1671
16 Nd 0.5000 0.5000 0.0000
17 Nd 0.6666 0.6666 0.8329
18 Nd 0.8334 0.8334 0.6666

Values from the calculation:
The calculation puts the total magnetization at 0.00 μB/f.u. Its total energy is -87.44 eV per formula unit. For the density of states at the Fermi level, the calculation gives 1.981 states/eV per atom.



Entry 3:
Entry from Alexandria: a relaxed Er3Mg5H12 crystal (GGA-PBE).

Lattice parameters (Å, degrees): 10.4780 10.4780 10.4780 109.47 109.47 109.47
Element x y z (fractional)
1 Er 0.1250 0.2500 0.3750
2 Er 0.1250 0.3750 0.7500
3 Er 0.2500 0.3750 0.1250
4 Er 0.2500 0.8750 0.6250
5 Er 0.3750 0.1250 0.2500
6 Er 0.3750 0.7500 0.1250
7 Er 0.6250 0.2500 0.8750
8 Er 0.6250 0.8750 0.7500
9 Er 0.7500 0.1250 0.3750
10 Er 0.7500 0.6250 0.8750
11 Er 0.8750 0.6250 0.2500
12 Er 0.8750 0.7500 0.6250
13 Mg 0.0000 0.0000 0.0000
14 Mg 0.0000 0.0000 0.5000
15 Mg 0.0000 0.5000 0.0000
16 Mg 0.0000 0.5000 0.5000
17 Mg 0.1250 0.7500 0.8750
18 Mg 0.1250 0.8750 0.2500
19 Mg 0.2500 0.1250 0.8750
20 Mg 0.2500 0.6250 0.3750
21 Mg 0.3750 0.2500 0.6250
22 Mg 0.3750 0.6250 0.7500
23 Mg 0.5000 0.0000 0.0000
24 Mg 0.5000 0.0000 0.5000
25 Mg 0.5000 0.5000 0.0000
26 Mg 0.5000 0.5000 0.5000
27 Mg 0.6250 0.3750 0.2500
28 Mg 0.6250 0.7500 0.3750
29 Mg 0.7500 0.3750 0.6250
30 Mg 0.7500 0.8750 0.1250
31 Mg 0.8750 0.1250 0.7500
32 Mg 0.8750 0.2500 0.1250
33 H 0.0513 0.2201 0.1388
34 H 0.0513 0.3312 0.9125
35 H 0.0813 0.7201 0.6688
36 H 0.0813 0.8612 0.4125
37 H 0.0875 0.6388 0.4187
38 H 0.0875 0.9487 0.6688
39 H 0.1388 0.0513 0.2201
40 H 0.1388 0.5875 0.9187
41 H 0.1688 0.2201 0.5813
42 H 0.1688 0.4487 0.5875
43 H 0.2201 0.1388 0.0513
44 H 0.2201 0.5813 0.1688
45 H 0.2799 0.3312 0.9187
46 H 0.2799 0.4487 0.3612
47 H 0.3312 0.9125 0.0513
48 H 0.3312 0.9187 0.2799
49 H 0.3612 0.2799 0.4487
50 H 0.3612 0.5813 0.9125
51 H 0.4125 0.0813 0.8612
52 H 0.4125 0.8312 0.5513
53 H 0.4187 0.0875 0.6388
54 H 0.4187 0.8312 0.7799
55 H 0.4487 0.3612 0.2799
56 H 0.4487 0.5875 0.1688
57 H 0.5513 0.4125 0.8312
58 H 0.5513 0.6388 0.7201
59 H 0.5813 0.1688 0.2201
60 H 0.5813 0.9125 0.3612
61 H 0.5875 0.1688 0.4487
62 H 0.5875 0.9187 0.1388
63 H 0.6388 0.4187 0.0875
64 H 0.6388 0.7201 0.5513
65 H 0.6688 0.0813 0.7201
66 H 0.6688 0.0875 0.9487
67 H 0.7201 0.5513 0.6388
68 H 0.7201 0.6688 0.0813
69 H 0.7799 0.4187 0.8312
70 H 0.7799 0.8612 0.9487
71 H 0.8312 0.5513 0.4125
72 H 0.8312 0.7799 0.4187
73 H 0.8612 0.4125 0.0813
74 H 0.8612 0.9487 0.7799
75 H 0.9125 0.0513 0.3312
76 H 0.9125 0.3612 0.5813
77 H 0.9187 0.1388 0.5875
78 H 0.9187 0.2799 0.3312
79 H 0.9487 0.6688 0.0875
80 H 0.9487 0.7799 0.8612

Values from the calculation:
The calculation puts the total magnetization at 0.00 μB/f.u. Its total energy is -66.57 eV per formula unit. For the density of states at the Fermi level, the calculation gives 0.235 states/eV per atom.



Entry 4:
Entry from Alexandria: a relaxed Li6Ni2Pt crystal (GGA-PBE).

Lattice parameters (Å, degrees): 4.7735 4.7735 6.8431 90.00 90.00 120.00
Element x y z (fractional)
1 Li 0.0000 0.5000 0.1910
2 Li 0.0000 0.5000 0.8090
3 Li 0.5000 0.0000 0.1910
4 Li 0.5000 0.0000 0.8090
5 Li 0.5000 0.5000 0.1910
6 Li 0.5000 0.5000 0.8090
7 Ni 0.3333 0.6667 0.5000
8 Ni 0.6667 0.3333 0.5000
9 Pt 0.0000 0.0000 0.0000

Values from the calculation:
The calculation puts the total magnetization at 0.00 μB/f.u. Its total energy is -27.12 eV per formula unit. For the density of states at the Fermi level, the calculation gives 0.364 states/eV per atom.



Entry 5:
Entry from Alexandria: a relaxed TbEr2NpN4 crystal (GGA-PBE).

Lattice parameters (Å, degrees): 5.9517 3.4456 5.9556 90.00 109.00 90.00
Element x y z (fractional)
1 Tb 0.0000 0.0000 0.0000
2 Er 0.5000 0.0000 0.5000
3 Er 0.5000 0.5000 0.0000
4 Np 0.0000 0.5000 0.5000
5 N 0.2450 0.5000 0.2623
6 N 0.2480 0.0000 0.7440
7 N 0.7520 0.0000 0.2560
8 N 0.7550 0.5000 0.7377

Values from the calculation:
The calculation puts the total magnetization at 3.10 μB/f.u. Its total energy is -72.59 eV per formula unit. For the density of states at the Fermi level, the calculation gives 0.770 states/eV per atom. As for the formation energy (no corrections): -1574 meV/atom.



Entry 6:
Entry from Alexandria: a relaxed LiNi3Ge crystal (GGA-PBE).

Lattice parameters (Å, degrees): 5.8149 5.8149 5.8149 131.24 110.64 89.34
Element x y z (fractional)
1 Li 0.2524 0.0024 0.2500
2 Li 0.7476 0.9976 0.7500
3 Ni 0.1846 0.0000 0.6846
4 Ni 0.1846 0.5000 0.1846
5 Ni 0.4477 0.6977 0.7500
6 Ni 0.5523 0.3023 0.2500
7 Ni 0.8154 0.0000 0.3154
8 Ni 0.8154 0.5000 0.8154
9 Ge 0.0000 0.5000 0.5000
10 Ge 0.5000 0.5000 0.0000

Values from the calculation:
The calculation puts the total magnetization at 0.00 μB/f.u. Its total energy is -24.43 eV per formula unit. For the density of states at the Fermi level, the calculation gives 0.748 states/eV per atom.



Entry 7:
Entry from Alexandria: a relaxed Li2MgH crystal (GGA-PBE).

Lattice parameters (Å, degrees): 2.9915 2.9915 22.5337 90.00 90.00 120.00
Element x y z (fractional)
1 Li 0.0000 0.0000 0.2179
2 Li 0.0000 0.0000 0.7821
3 Li 0.3333 0.6667 0.4488
4 Li 0.3333 0.6667 0.8846
5 Li 0.6667 0.3333 0.1154
6 Li 0.6667 0.3333 0.5512
7 Mg 0.0000 0.0000 0.0000
8 Mg 0.3333 0.6667 0.6667
9 Mg 0.6667 0.3333 0.3333
10 H 0.0000 0.0000 0.5000
11 H 0.3333 0.6667 0.1667
12 H 0.6667 0.3333 0.8333

Values from the calculation:
The calculation puts the total magnetization at 0.00 μB/f.u. Its total energy is -9.47 eV per formula unit. For the density of states at the Fermi level, the calculation gives 0.244 states/eV per atom.



Entry 8:
Entry from Alexandria: a relaxed WAuCl2 crystal (GGA-PBE).

Lattice parameters (Å, degrees): 2.9108 4.6065 13.7617 90.00 90.00 90.00
Element x y z (fractional)
1 W 0.0000 0.0000 0.0000
2 W 0.5000 0.5000 0.5000
3 Au 0.0000 0.5000 0.6708
4 Au 0.5000 0.0000 0.1708
5 Cl 0.0000 0.0000 0.5092
6 Cl 0.0000 0.5000 0.3559
7 Cl 0.5000 0.0000 0.8559
8 Cl 0.5000 0.5000 0.0092

Values from the calculation:
The calculation puts the total magnetization at 1.38 μB/f.u. Its total energy is -18.67 eV per formula unit. For the density of states at the Fermi level, the calculation gives 0.411 states/eV per atom. As for the formation energy (no corrections): 314 meV/atom.



Entry 9:
Entry from Alexandria: a relaxed SrTl2PtBr crystal (GGA-PBE).

Lattice parameters (Å, degrees): 5.2795 5.2795 6.0887 90.00 90.00 90.00
Element x y z (fractional)
1 Sr 0.0000 0.0000 0.0000
2 Tl 0.0000 0.5000 0.5000
3 Tl 0.5000 0.0000 0.5000
4 Pt 0.0000 0.0000 0.5000
5 Br 0.5000 0.5000 0.0000

Values from the calculation:
The calculation puts the total magnetization at 0.00 μB/f.u. Its total energy is -17.45 eV per formula unit. For the density of states at the Fermi level, the calculation gives 0.461 states/eV per atom. As for the formation energy (no corrections): -665 meV/atom.



Entry 10:
Entry from Alexandria: a relaxed Na3Sn2Pb2 crystal (GGA-PBE).

Lattice parameters (Å, degrees): 10.6564 4.8106 7.8959 90.00 99.96 90.00
Element x y z (fractional)
1 Na 0.0000 0.0000 0.0000
2 Na 0.1412 0.0000 0.4313
3 Na 0.3588 0.5000 0.5687
4 Na 0.5000 0.5000 0.0000
5 Na 0.6412 0.5000 0.4313
6 Na 0.8588 0.0000 0.5687
7 Sn 0.2154 0.5000 0.1429
8 Sn 0.2846 0.0000 0.8571
9 Sn 0.7154 0.0000 0.1429
10 Sn 0.7846 0.5000 0.8571
11 Pb 0.0815 0.5000 0.7314
12 Pb 0.4185 0.0000 0.2686
13 Pb 0.5815 0.0000 0.7314
14 Pb 0.9185 0.5000 0.2686

Values from the calculation:
The calculation puts the total magnetization at 0.00 μB/f.u. Its total energy is -20.32 eV per formula unit. For the density of states at the Fermi level, the calculation gives 0.376 states/eV per atom.